Computed, not measured: Rb2CaVF6 after structural relaxation at the PBE with a Hubbard U level of DFT.

extended XYZ file:
```
10
Lattice="-0.1098 -5.9886 1.6140 5.9104 -0.5904 -1.7885 4.2282 -2.2257 3.9500" Properties=species:S:1:pos:R:3 pbc="T T T"
Ca 2.9003 -3.2895 -0.0872
F 3.5840 -2.7418 1.9915
F 6.4448 -6.0629 1.7841
F 1.4085 -1.5975 -0.0424
F 4.3921 -4.9815 -0.1321
F 1.3521 -4.6778 0.7878
F 4.4486 -1.9012 -0.9623
Rb 3.5094 -5.7519 2.7384
Rb 6.5195 -3.0528 1.0371
V 0.0000 0.0000 0.0000
```

total moment: 3.00 μB/f.u.
DOS at the Fermi energy: 0.000 states/eV per atom
total DFT energy (no corrections): -53.85 eV for the cell shown
space group: I4/mmm